! KMn2Mo2O10, optimized geometry, DFT PBE with a Hubbard U; values from VASP
! VASP energy = -6.86 eV per atom
! Fermi-level density of states = 0.08 states/eV per atom
! size of the total moment = 0.467 μB per atom
! ρ = 3.4 g/cm3
&SYSTEM
  ibrav = 0, nat = 15, ntyp = 4
/
ATOMIC_SPECIES
O 16.00 O.upf
K 39.10 K.upf
Mo 95.94 Mo.upf
Mn 54.94 Mn.upf
ATOMIC_POSITIONS crystal
O 0.693 0.693 0.927
O 0.162 0.162 0.883
O 0.290 0.816 0.213
O 0.838 0.838 0.117
O 0.816 0.290 0.213
O 0.184 0.710 0.787
O 0.307 0.307 0.073
O 0.710 0.184 0.787
O 0.810 0.810 0.464
O 0.190 0.190 0.536
K 0.500 0.500 0.500
Mo 0.063 0.063 0.750
Mo 0.937 0.937 0.250
Mn 0.000 0.500 0.000
Mn 0.500 0.000 0.000
CELL_PARAMETERS angstrom
5.952 0.031 -0.047
2.701 5.303 -0.047
3.313 2.043 7.769